(1)
Computed, not measured: a PBEsol-optimized structure of MgSc3Pt at the SCAN level of DFT.

Lattice parameters (Å, degrees): 5.073 5.073 5.073 90.00 90.00 90.00
Each line ends with the local moment (μB).
Fractional positions:
Sc (0.000, 0.500, 0.000)  0.07
Sc (0.000, 0.000, 0.500)  0.07
Sc (0.500, 0.000, 0.000)  0.07
Mg (0.500, 0.500, 0.500)  0.01
Pt (0.000, 0.000, 0.000)  0.03

Calculated values
- Space group: Pm-3m, No. 221
- Calculated formation energy: -39 kJ/mol of atoms



(2)
Computed, not measured: a PBEsol-optimized structure of MgScZn2Pt at the SCAN level of DFT.

Lattice parameters (Å, degrees): 4.571 4.571 4.674 90.00 90.00 90.00
Fractional positions:
Sc (0.500, 0.500, 0.500)
Zn (0.000, 0.500, 0.000)
Zn (0.500, 0.000, 0.000)
Mg (0.000, 0.000, 0.000)
Pt (0.000, 0.000, 0.500)

Calculated values
- Space group: P4/mmm, No. 123
- Calculated formation energy: 23 kJ/mol of atoms



(3)
Computed, not measured: a PBEsol-optimized structure of MgPtSe2 at the SCAN level of DFT.

Lattice parameters (Å, degrees): 3.228 3.228 6.834 90.00 90.00 90.00
Fractional positions:
Mg (0.500, 0.500, 0.000)
Pt (0.500, 0.500, 0.500)
Se (0.000, 0.000, 0.744)
Se (0.000, 0.000, 0.256)

Calculated values
- Energy relative to the elements, uncorrected: 0.03 eV per atom
- Space group: P4/mmm, No. 123



| no. | total magnetic moment (μB per cell) | calculated volume (Å³ per atom) |
| --- | --- | --- |
| 1 | 0.5 | 26.1 |
| 2 | 0.0 | 19.5 |
| 3 | 0.0 | 17.8 |